First-principles (PBE-GGA) data for KNbSi2S8 after structural relaxation, as listed in Alexandria.

a b c (Å): 6.1317 6.1317 8.7323
angles (deg): 90.00 90.00 120.00
Site moments in Bohr magnetons follow the coordinates.
Element x y z (fractional)
1 K 0.0000 0.0000 0.0000  0.00
2 Nb 0.0000 0.0000 0.5000  -0.06
3 Si 0.6667 0.3333 0.2748  -0.01
4 Si 0.3333 0.6667 0.7252  -0.01
5 S 0.3333 0.6667 0.9670  0.37
6 S 0.3307 0.3350 0.3416  0.08
7 S 0.6650 0.9957 0.3416  0.08
8 S 0.6667 0.3333 0.0330  0.37
9 S 0.3350 0.0043 0.6584  0.08
10 S 0.6693 0.6650 0.6584  0.08
11 S 0.9957 0.3307 0.6584  0.08
12 S 0.0043 0.6693 0.3416  0.08

Properties
- Space group: No. 147
- Raw total energy: -61.26 eV for the cell shown
- Magnetic moment: 1.86 μB/f.u.

=====

First-principles (PBE-GGA) data for KSrNbS4 after structural relaxation, as listed in Alexandria.

a b c (Å): 7.0716 6.9747 8.8677
angles (deg): 90.00 106.83 90.00
Element x y z (fractional)
1 K 0.7260 0.7500 0.9332
2 K 0.2740 0.2500 0.0668
3 Sr 0.7733 0.7500 0.4473
4 Sr 0.2267 0.2500 0.5527
5 Nb 0.2233 0.7500 0.3137
6 Nb 0.7767 0.2500 0.6863
7 S 0.9897 0.5060 0.7297
8 S 0.0103 0.0060 0.2703
9 S 0.0103 0.4940 0.2703
10 S 0.9897 0.9940 0.7297
11 S 0.4239 0.7500 0.1523
12 S 0.5761 0.2500 0.8477
13 S 0.4097 0.7500 0.5707
14 S 0.5903 0.2500 0.4293

Properties
- Space group: No. 11
- Raw total energy: -78.37 eV for the cell shown
- Magnetic moment: 0.00 μB/f.u.

=====

First-principles (PBE-GGA) data for KTa2NbS after structural relaxation, as listed in Alexandria.

a b c (Å): 4.9773 5.2103 4.9773
angles (deg): 90.00 90.00 90.00
Element x y z (fractional)
1 S 0.0000 0.5000 0.0000
2 Nb 0.0000 0.0000 0.0000
3 K 0.5000 0.5000 0.5000
4 Ta 0.0000 0.0000 0.5000
5 Ta 0.5000 0.0000 0.0000

Properties
- Space group: No. 123
- Raw total energy: -32.57 eV for the cell shown
- Magnetic moment: 0.00 μB/f.u.

=====

First-principles (PBE-GGA) data for K2Ta2NbS6 after structural relaxation, as listed in Alexandria.

a b c (Å): 6.0898 6.0898 8.0129
angles (deg): 96.08 96.08 121.28
Element x y z (fractional)
1 K 0.8280 0.1720 0.0000
2 K 0.1720 0.8280 0.0000
3 Ta 0.3631 0.6369 0.5000
4 Ta 0.6369 0.3631 0.5000
5 Nb 0.0000 0.0000 0.5000
6 S 0.7318 0.7318 0.7124
7 S 0.0493 0.3939 0.6828
8 S 0.2682 0.2682 0.2876
9 S 0.3939 0.0493 0.6828
10 S 0.9507 0.6061 0.3172
11 S 0.6061 0.9507 0.3172

Properties
- Space group: No. 12
- Raw total energy: -73.15 eV for the cell shown
- Magnetic moment: 0.00 μB/f.u.

=====

First-principles (PBE-GGA) data for K2TaNb2S6 after structural relaxation, as listed in Alexandria.

a b c (Å): 6.0889 6.0889 8.0229
angles (deg): 96.34 96.34 120.93
Element x y z (fractional)
1 K 0.8254 0.1746 0.0000
2 K 0.1746 0.8254 0.0000
3 Ta 0.0000 0.0000 0.5000
4 Nb 0.3631 0.6369 0.5000
5 Nb 0.6369 0.3631 0.5000
6 S 0.7392 0.7392 0.7115
7 S 0.0514 0.3889 0.6839
8 S 0.2608 0.2608 0.2885
9 S 0.3889 0.0514 0.6839
10 S 0.9486 0.6111 0.3161
11 S 0.6111 0.9486 0.3161

Properties
- Space group: No. 12
- Raw total energy: -71.53 eV for the cell shown
- Magnetic moment: 0.00 μB/f.u.

=====

First-principles (PBE-GGA) data for KNbTeS2 after structural relaxation, as listed in Alexandria.

a b c (Å): 5.2215 4.9895 5.2215
angles (deg): 90.00 90.00 90.00
Element x y z (fractional)
1 S 0.0000 0.0000 0.5000
2 S 0.5000 0.0000 0.0000
3 Nb 0.0000 0.5000 0.0000
4 Te 0.5000 0.5000 0.5000
5 K 0.0000 0.0000 0.0000

Properties
- Space group: No. 123
- Raw total energy: -13.78 eV for the cell shown
- Magnetic moment: 0.00 μB/f.u.

=====

First-principles (PBE-GGA) data for K2NbTl3S6 after structural relaxation, as listed in Alexandria.

a b c (Å): 7.6967 7.6967 6.9736
angles (deg): 99.74 99.74 121.64
Element x y z (fractional)
1 K 0.3269 0.6731 0.0000
2 K 0.6731 0.3269 0.0000
3 Nb 0.0000 0.0000 0.0000
4 Tl 0.1415 0.8585 0.5000
5 Tl 0.8585 0.1415 0.5000
6 Tl 0.5000 0.5000 0.5000
7 S 0.9272 0.6659 0.7778
8 S 0.7887 0.7887 0.2117
9 S 0.0728 0.3341 0.2222
10 S 0.6659 0.9272 0.7778
11 S 0.2113 0.2113 0.7883
12 S 0.3341 0.0728 0.2222

Properties
- Space group: No. 12
- Raw total energy: -52.24 eV for the cell shown
- Magnetic moment: 0.00 μB/f.u.

=====

First-principles (PBE-GGA) data for K2NbTlS4 after structural relaxation, as listed in Alexandria.

a b c (Å): 7.0077 7.0077 7.0077
angles (deg): 108.71 109.85 109.85
Element x y z (fractional)
1 K 0.5000 0.7500 0.2500
2 K 0.0000 0.0000 0.0000
3 Nb 0.0000 0.5000 0.5000
4 Tl 0.5000 0.2500 0.7500
5 S 0.6681 0.4921 0.4971
6 S 0.0050 0.1760 0.5079
7 S 0.9950 0.5029 0.1710
8 S 0.3319 0.8290 0.8240

Properties
- Space group: No. 82
- Raw total energy: -39.08 eV for the cell shown
- Magnetic moment: 0.00 μB/f.u.